1.
Entry from Alexandria: an optimized crystal structure of SrSbOs2 (PBE-GGA).

a b c (Å): 6.0688 6.0688 6.0688
angles (deg): 151.24 128.32 60.22
Atoms (fractional coordinates):
Sr  0.2515  0.7515  0.5000
Os  0.7576  0.2576  0.5000
Os  0.9551  0.9551  0.0000
Sb  0.5358  0.5358  0.0000

## Properties
**Formation energy from raw total energies**: 0.618 eV per atom
**Magnetization**: 0.0 μB/f.u.
**ρ**: 11.70 Mg/m³
**Volume**: 84 Å³/cell
**Crystal system**: orthorhombic

***

2.
Entry from Alexandria: an optimized crystal structure of BeNb2V2Ru5 (PBE-GGA).

a b c (Å): 2.9936 9.8309 9.8309
angles (deg): 90.00 90.00 90.00
Atoms (fractional coordinates):
V  0.0000  0.3606  0.1394
V  0.0000  0.1394  0.6394
V  0.0000  0.8606  0.3606
V  0.0000  0.6394  0.8606
Ru  0.5000  0.3115  0.5517
Ru  0.5000  0.1885  0.0517
Ru  0.5000  0.5000  0.0000
Ru  0.5000  0.0000  0.5000
Ru  0.5000  0.8115  0.9483
Ru  0.5000  0.4483  0.3115
Ru  0.5000  0.5517  0.6885
Ru  0.5000  0.0517  0.8115
Ru  0.5000  0.9483  0.1885
Ru  0.5000  0.6885  0.4483
Nb  0.0000  0.6748  0.1748
Nb  0.0000  0.3252  0.8252
Nb  0.0000  0.1748  0.3252
Nb  0.0000  0.8252  0.6748
Be  0.0000  0.5000  0.5000
Be  0.0000  0.0000  0.0000

## Properties
**DFT formation energy**: -0.07 eV per atom
**Magnetization**: 0.0 μB/f.u.
**ρ**: 9.21 Mg/m³
**Volume**: 289 Å³/cell
**Crystal system**: tetragonal

***

3.
Entry from Alexandria: an optimized crystal structure of La4TaMo (PBE-GGA).

a b c (Å): 6.2357 6.2357 6.2357
angles (deg): 60.00 60.00 60.00
Site moments in Bohr magnetons follow the coordinates.
Atoms (fractional coordinates):
Ta  0.0000  0.0000  0.0000  1.09
Mo  0.7500  0.7500  0.7500  -2.25
La  0.8738  0.3754  0.3754  0.05
La  0.3754  0.8738  0.3754  0.05
La  0.3754  0.3754  0.8738  0.05
La  0.3754  0.3754  0.3754  0.05

## Properties
**DFT formation energy**: 1.19 eV per atom
**Magnetization**: 0.6 μB/f.u.
**ρ**: 8.06 Mg/m³
**Volume**: 171 Å³/cell
**Crystal system**: cubic

***

4.
Entry from Alexandria: an optimized crystal structure of PtBr3 (PBE-GGA).

a b c (Å): 3.7140 6.7790 6.7742
angles (deg): 47.34 90.00 90.00
Atoms (fractional coordinates):
Pt  0.5000  0.2500  0.2500
Br  0.5000  0.7500  0.7500
Br  0.0000  0.3844  0.3851
Br  0.0000  0.1156  0.1149

## Properties
**Formation energy from raw total energies**: -0.172 eV per atom
**Magnetization**: 0.0 μB/f.u.
**ρ**: 5.76 Mg/m³
**Volume**: 125 Å³/cell
**Crystal system**: orthorhombic

***

5.
Entry from Alexandria: an optimized crystal structure of ZrTiNi3 (PBE-GGA).

a b c (Å): 5.2784 5.7535 5.7535
angles (deg): 120.00 90.00 90.00
Atoms (fractional coordinates):
Zr  0.2500  0.3333  0.6667
Zr  0.7500  0.6667  0.3333
Ni  0.2500  0.3984  0.1992
Ni  0.7500  0.6016  0.8008
Ni  0.7500  0.1992  0.3984
Ni  0.7500  0.1992  0.8008
Ni  0.2500  0.8008  0.6016
Ni  0.2500  0.8008  0.1992
Ti  0.5000  0.0000  0.0000
Ti  0.0000  0.0000  0.0000

## Properties
**DFT formation energy**: -0.13 eV per atom
**Magnetization**: 0.0 μB/f.u.
**ρ**: 6.92 Mg/m³
**Volume**: 151 Å³/cell
**Crystal system**: hexagonal

***

6.
Entry from Alexandria: an optimized crystal structure of GeAsPd2 (PBE-GGA).

a b c (Å): 3.1467 3.1467 6.5441
angles (deg): 90.00 90.00 90.00
Atoms (fractional coordinates):
Pd  0.0000  0.0000  0.7367
Pd  0.0000  0.0000  0.2633
As  0.5000  0.5000  0.0000
Ge  0.5000  0.5000  0.5000

## Properties
**DFT formation energy**: -0.23 eV per atom
**Magnetization**: 0.0 μB/f.u.
**ρ**: 9.24 Mg/m³
**Volume**: 65 Å³/cell
**Crystal system**: tetragonal

***

7.
Entry from Alexandria: an optimized crystal structure of YZr2W (PBE-GGA).

a b c (Å): 3.4984 3.4984 7.5137
angles (deg): 90.00 90.00 90.00
Atoms (fractional coordinates):
Zr  0.5000  0.5000  0.2787
Zr  0.0000  0.0000  0.0399
Y  0.5000  0.5000  0.7197
W  0.0000  0.0000  0.4618

## Properties
**DFT formation energy**: 0.26 eV per atom
**Magnetization**: 0.0 μB/f.u.
**ρ**: 8.22 Mg/m³
**Volume**: 92 Å³/cell
**Crystal system**: tetragonal

***

8.
Entry from Alexandria: an optimized crystal structure of LiSmPuGe (PBE-GGA).

a b c (Å): 5.1133 5.1133 5.1133
angles (deg): 60.00 60.00 60.00
Site moments in Bohr magnetons follow the coordinates.
Atoms (fractional coordinates):
Li  0.7500  0.7500  0.7500  0.04
Ge  0.2500  0.2500  0.2500  -0.07
Sm  0.5000  0.5000  0.5000  0.22
Pu  0.0000  0.0000  0.0000  5.50

## Properties
**DFT formation energy**: -0.22 eV per atom
**Magnetization**: 6.3 μB/f.u.
**ρ**: 8.33 Mg/m³
**Volume**: 95 Å³/cell
**Crystal system**: cubic